Model 1:
{
  "formula": "TeSeSN2",
  "functional": "PBE-GGA",
  "state": "relaxed",
  "lattice": [[3.856, 0.000, 0.000], [0.000, 3.856, 0.000], [0.000, 0.000, 6.491]],
  "species": ["S", "Te", "Se", "N", "N"],
  "fractional_positions": [[0.500, 0.500, 0.500], [0.000, 0.000, 0.000], [0.000, 0.000, 0.500], [0.000, 0.500, 0.000], [0.500, 0.000, 0.000]],
  "vol_a3_per_atom": 19.30,
  "dos_at_fermi_per_ev_fu": 3.33
}

***

Model 2:
{
  "formula": "TeSeSN2",
  "functional": "PBE-GGA",
  "state": "relaxed",
  "lattice": [[-2.746, 0.829, -2.452], [-1.945, -3.020, 1.157], [-3.249, 4.006, 4.995]],
  "species": ["S", "Te", "Se", "N", "N"],
  "fractional_positions": [[0.500, 0.500, 0.500], [0.000, 0.000, 0.500], [0.000, 0.000, 0.000], [0.000, 0.500, 0.000], [0.500, 0.000, 0.000]],
  "vol_a3_per_atom": 20.45,
  "dos_at_fermi_per_ev_fu": 3.12
}

***

Model 3:
{
  "formula": "TeSeSN2",
  "functional": "PBE-GGA",
  "state": "relaxed",
  "lattice": [[-2.897, 2.517, -0.424], [-1.094, -1.804, -3.233], [-3.801, -3.801, 3.406]],
  "species": ["S", "Te", "Se", "N", "N"],
  "fractional_positions": [[0.000, 0.000, 0.500], [0.000, 0.000, 0.000], [0.500, 0.500, 0.500], [0.000, 0.500, 0.000], [0.500, 0.000, 0.000]],
  "vol_a3_per_atom": 18.97,
  "dos_at_fermi_per_ev_fu": 3.14
}

***

Result of the stability comparison: model 1 is the most stable of them.

***

Model 1:
{
  "formula": "TeSeSN2",
  "functional": "PBE-GGA",
  "state": "relaxed",
  "lattice": [[-2.517, -2.906, -0.885], [2.944, -2.051, -1.638], [0.923, -2.107, 4.296]],
  "species": ["S", "Te", "Se", "N", "N"],
  "fractional_positions": [[0.000, 0.000, 0.500], [0.500, 0.500, 0.500], [0.000, 0.000, 0.000], [0.000, 0.500, 0.000], [0.500, 0.000, 0.000]],
  "vol_a3_per_atom": 15.17,
  "dos_at_fermi_per_ev_fu": 1.54
}

***

Model 2:
{
  "formula": "TeSeSN2",
  "functional": "PBE-GGA",
  "state": "relaxed",
  "lattice": [[3.890, 0.000, 0.000], [0.000, 3.890, 0.000], [0.000, 0.000, 4.903]],
  "species": ["S", "Te", "Se", "N", "N"],
  "fractional_positions": [[0.000, 0.000, 0.000], [0.500, 0.500, 0.500], [0.000, 0.000, 0.500], [0.000, 0.500, 0.000], [0.500, 0.000, 0.000]],
  "vol_a3_per_atom": 14.84,
  "dos_at_fermi_per_ev_fu": 3.27
}

***

Result of the stability comparison: model 1 is the most stable of them.

***

Model 1:
{
  "formula": "TeSeS2N",
  "functional": "PBE-GGA",
  "state": "relaxed",
  "lattice": [[-3.269, -2.116, -3.353], [3.914, -1.031, -3.166], [0.478, -3.461, 1.718]],
  "species": ["S", "S", "Te", "Se", "N"],
  "fractional_positions": [[0.000, 0.500, 0.000], [0.500, 0.000, 0.000], [0.000, 0.000, 0.000], [0.500, 0.500, 0.500], [0.000, 0.000, 0.500]],
  "vol_a3_per_atom": 20.56,
  "dos_at_fermi_per_ev_fu": 4.28
}

***

Model 2:
{
  "formula": "TeSeS2N",
  "functional": "PBE-GGA",
  "state": "relaxed",
  "lattice": [[-1.870, 2.962, -3.639], [-4.235, -2.752, -0.063], [-1.471, 2.204, 2.550]],
  "species": ["S", "S", "Te", "Se", "N"],
  "fractional_positions": [[0.000, 0.500, 0.000], [0.500, 0.000, 0.000], [0.500, 0.500, 0.500], [0.000, 0.000, 0.000], [0.000, 0.000, 0.500]],
  "vol_a3_per_atom": 18.76,
  "dos_at_fermi_per_ev_fu": 3.57
}

***

Result of the stability comparison: model 2 is the most stable of them.